No. 1
# HfTiMnBi2, relaxed, DFT PBE
data_HfTiMnBi2
_chemical_formula_sum 'Hf1 Ti1 Mn1 Bi2'
_symmetry_space_group_name_H-M 'P 4/m m m'
_symmetry_Int_Tables_number 123
_symmetry_space_group_name_Hall '-P 4 2'
_cell_length_a 5.393
_cell_length_b 5.393
_cell_length_c 4.236
_cell_angle_alpha 90.00
_cell_angle_beta 90.00
_cell_angle_gamma 90.00
loop_
_atom_site_label
_atom_site_type_symbol
_atom_site_fract_x
_atom_site_fract_y
_atom_site_fract_z
_atom_site_occupancy
Hf1 Hf 0.000 0.000 0.000 1
Ti1 Ti 0.500 0.500 0.500 1
Mn1 Mn 0.500 0.500 0.000 1
Bi1 Bi 0.000 0.500 0.500 1
# ΔE_f = 0.777 eV per atom
# Total DFT energy (no corrections) = -30.894 eV/cell
# Size of the total moment = 1.56 Bohr magnetons per cell

No. 2
# HfMnTlBi2, relaxed, DFT PBE
data_HfMnTlBi2
_chemical_formula_sum 'Hf1 Mn1 Tl1 Bi2'
_symmetry_space_group_name_H-M 'P 4/m m m'
_symmetry_Int_Tables_number 123
_symmetry_space_group_name_Hall '-P 4 2'
_cell_length_a 5.132
_cell_length_b 5.132
_cell_length_c 5.042
_cell_angle_alpha 90.00
_cell_angle_beta 90.00
_cell_angle_gamma 90.00
loop_
_atom_site_label
_atom_site_type_symbol
_atom_site_fract_x
_atom_site_fract_y
_atom_site_fract_z
_atom_site_occupancy
Hf1 Hf 0.000 0.000 0.000 1
Mn1 Mn 0.500 0.500 0.500 1
Tl1 Tl 0.500 0.500 0.000 1
Bi1 Bi 0.000 0.500 0.500 1
# ΔE_f = 0.867 eV per atom
# Total DFT energy (no corrections) = -24.917 eV/cell
# Size of the total moment = 0.25 Bohr magnetons per cell
# Relative energy among the computed polymorphs = 0 meV/atom

No. 3
# HfMnTlBi2, relaxed, DFT PBE
data_HfMnTlBi2
_chemical_formula_sum 'Hf1 Mn1 Tl1 Bi2'
_symmetry_space_group_name_H-M 'P 4/m m m'
_symmetry_Int_Tables_number 123
_symmetry_space_group_name_Hall '-P 4 2'
_cell_length_a 5.760
_cell_length_b 5.760
_cell_length_c 5.424
_cell_angle_alpha 90.00
_cell_angle_beta 90.00
_cell_angle_gamma 90.00
loop_
_atom_site_label
_atom_site_type_symbol
_atom_site_fract_x
_atom_site_fract_y
_atom_site_fract_z
_atom_site_occupancy
Hf1 Hf 0.000 0.000 0.000 1
Mn1 Mn 0.500 0.500 0.000 1
Tl1 Tl 0.000 0.000 0.500 1
Bi1 Bi 0.000 0.500 0.500 1
# ΔE_f = 1.407 eV per atom
# Total DFT energy (no corrections) = -22.217 eV/cell
# Size of the total moment = 4.03 Bohr magnetons per cell
# Relative energy among the computed polymorphs = 540 meV/atom

No. 4
# YHfMnBi2, relaxed, DFT PBE
data_YHfMnBi2
_chemical_formula_sum 'Y1 Hf1 Mn1 Bi2'
_symmetry_space_group_name_H-M 'P 4/m m m'
_symmetry_Int_Tables_number 123
_symmetry_space_group_name_Hall '-P 4 2'
_cell_length_a 5.203
_cell_length_b 5.203
_cell_length_c 4.961
_cell_angle_alpha 90.00
_cell_angle_beta 90.00
_cell_angle_gamma 90.00
loop_
_atom_site_label
_atom_site_type_symbol
_atom_site_fract_x
_atom_site_fract_y
_atom_site_fract_z
_atom_site_occupancy
Y1 Y 0.000 0.000 0.000 1
Hf1 Hf 0.500 0.500 0.000 1
Mn1 Mn 0.000 0.000 0.500 1
Bi1 Bi 0.000 0.500 0.500 1
# ΔE_f = 0.552 eV per atom
# Total DFT energy (no corrections) = -30.589 eV/cell
# Size of the total moment = 2.35 Bohr magnetons per cell
# Relative energy among the computed polymorphs = 0 meV/atom

No. 5
# YHfMnBi2, relaxed, DFT PBE
data_YHfMnBi2
_chemical_formula_sum 'Y1 Hf1 Mn1 Bi2'
_symmetry_space_group_name_H-M 'P 4/m m m'
_symmetry_Int_Tables_number 123
_symmetry_space_group_name_Hall '-P 4 2'
_cell_length_a 5.702
_cell_length_b 5.702
_cell_length_c 4.878
_cell_angle_alpha 90.00
_cell_angle_beta 90.00
_cell_angle_gamma 90.00
loop_
_atom_site_label
_atom_site_type_symbol
_atom_site_fract_x
_atom_site_fract_y
_atom_site_fract_z
_atom_site_occupancy
Y1 Y 0.000 0.000 0.000 1
Hf1 Hf 0.500 0.500 0.500 1
Mn1 Mn 0.000 0.000 0.500 1
Bi1 Bi 0.000 0.500 0.000 1
# ΔE_f = 1.137 eV per atom
# Total DFT energy (no corrections) = -27.664 eV/cell
# Size of the total moment = 3.25 Bohr magnetons per cell
# Relative energy among the computed polymorphs = 585 meV/atom

No. 6
# Hf2BiMo, relaxed, DFT PBE
data_Hf2BiMo
_chemical_formula_sum 'Hf2 Bi1 Mo1'
_symmetry_space_group_name_H-M 'P 4/m m m'
_symmetry_Int_Tables_number 123
_symmetry_space_group_name_Hall '-P 4 2'
_cell_length_a 3.606
_cell_length_b 3.606
_cell_length_c 6.446
_cell_angle_alpha 90.00
_cell_angle_beta 90.00
_cell_angle_gamma 90.00
loop_
_atom_site_label
_atom_site_type_symbol
_atom_site_fract_x
_atom_site_fract_y
_atom_site_fract_z
_atom_site_occupancy
Hf1 Hf 0.000 0.000 0.229 1
Bi1 Bi 0.500 0.500 0.500 1
Mo1 Mo 0.500 0.500 0.000 1
# ΔE_f = -0.071 eV per atom
# Total DFT energy (no corrections) = -34.904 eV/cell
# Size of the total moment = 0.00 Bohr magnetons per cell

No. 7
# Hf4BiMo, relaxed, DFT PBE
data_Hf4BiMo
_chemical_formula_sum 'Hf16 Bi4 Mo4'
_symmetry_space_group_name_H-M 'C 1 2/c 1'
_symmetry_Int_Tables_number 15
_symmetry_space_group_name_Hall '-C 2yc'
_cell_length_a 8.295
_cell_length_b 12.356
_cell_length_c 5.645
_cell_angle_alpha 90.00
_cell_angle_beta 109.95
_cell_angle_gamma 90.00
loop_
_atom_site_label
_atom_site_type_symbol
_atom_site_fract_x
_atom_site_fract_y
_atom_site_fract_z
_atom_site_occupancy
Hf1 Hf 0.113 0.179 0.069 1
Hf2 Hf 0.218 0.411 0.357 1
Bi1 Bi 0.000 0.383 0.750 1
Mo1 Mo 0.000 0.000 0.250 1
# ΔE_f = -0.010 eV per atom
# Total DFT energy (no corrections) = -218.353 eV/cell
# Size of the total moment = 0.00 Bohr magnetons per cell

No. 8
# HfBi3Mo, relaxed, DFT PBE
data_HfBi3Mo
_chemical_formula_sum 'Hf1 Bi3 Mo1'
_symmetry_space_group_name_H-M 'P m -3 m'
_symmetry_Int_Tables_number 221
_symmetry_space_group_name_Hall '-P 4 2 3'
_cell_length_a 5.363
_cell_length_b 5.363
_cell_length_c 5.363
_cell_angle_alpha 90.00
_cell_angle_beta 90.00
_cell_angle_gamma 90.00
loop_
_atom_site_label
_atom_site_type_symbol
_atom_site_fract_x
_atom_site_fract_y
_atom_site_fract_z
_atom_site_occupancy
Hf1 Hf 0.000 0.000 0.000 1
Bi1 Bi 0.000 0.500 0.500 1
Mo1 Mo 0.500 0.500 0.500 1
# ΔE_f = 1.057 eV per atom
# Total DFT energy (no corrections) = -27.141 eV/cell
# Size of the total moment = 1.21 Bohr magnetons per cell
# Relative energy among the computed polymorphs = 0 meV/atom

No. 9
# Hf3BiMo, relaxed, DFT PBE
data_Hf3BiMo
_chemical_formula_sum 'Hf3 Bi1 Mo1'
_symmetry_space_group_name_H-M 'P m -3 m'
_symmetry_Int_Tables_number 221
_symmetry_space_group_name_Hall '-P 4 2 3'
_cell_length_a 5.223
_cell_length_b 5.223
_cell_length_c 5.223
_cell_angle_alpha 90.00
_cell_angle_beta 90.00
_cell_angle_gamma 90.00
loop_
_atom_site_label
_atom_site_type_symbol
_atom_site_fract_x
_atom_site_fract_y
_atom_site_fract_z
_atom_site_occupancy
Hf1 Hf 0.000 0.000 0.500 1
Bi1 Bi 0.000 0.000 0.000 1
Mo1 Mo 0.500 0.500 0.500 1
# ΔE_f = 1.859 eV per atom
# Total DFT energy (no corrections) = -35.276 eV/cell
# Size of the total moment = 0.00 Bohr magnetons per cell
# Relative energy among the computed polymorphs = 1240 meV/atom

No. 10
# HfBiMo, relaxed, DFT PBE
data_HfBiMo
_chemical_formula_sum 'Hf6 Bi6 Mo6'
_symmetry_space_group_name_H-M 'R -3 m'
_symmetry_Int_Tables_number 166
_symmetry_space_group_name_Hall '-R 3 2"'
_cell_length_a 4.3750
_cell_length_b 4.3750
_cell_length_c 26.4216
_cell_angle_alpha 90.00
_cell_angle_beta 90.00
_cell_angle_gamma 120.00
loop_
_atom_site_label
_atom_site_type_symbol
_atom_site_fract_x
_atom_site_fract_y
_atom_site_fract_z
_atom_site_occupancy
Hf1 Hf 0.0000 0.0000 0.0607 1
Bi1 Bi 0.0000 0.0000 0.2078 1
Mo1 Mo 0.0000 0.0000 0.3462 1
# ΔE_f = 0.257 eV per atom
# Total DFT energy (no corrections) = -143.371 eV/cell
# Size of the total moment = 0.00 Bohr magnetons per cell

No. 11
# Hf2BiMo, relaxed, DFT PBE
data_Hf2BiMo
_chemical_formula_sum 'Hf8 Bi4 Mo4'
_symmetry_space_group_name_H-M 'I -4 2 d'
_symmetry_Int_Tables_number 122
_symmetry_space_group_name_Hall 'I -4 2bw'
_cell_length_a 4.268
_cell_length_b 4.268
_cell_length_c 20.229
_cell_angle_alpha 90.00
_cell_angle_beta 90.00
_cell_angle_gamma 90.00
loop_
_atom_site_label
_atom_site_type_symbol
_atom_site_fract_x
_atom_site_fract_y
_atom_site_fract_z
_atom_site_occupancy
Hf1 Hf 0.246 0.250 0.125 1
Bi1 Bi 0.000 0.000 0.500 1
Mo1 Mo 0.000 0.000 0.000 1
# ΔE_f = 0.702 eV per atom
# Total DFT energy (no corrections) = -127.239 eV/cell
# Size of the total moment = 4.54 Bohr magnetons per cell